Ca2BeSb: optimized geometry, GGA-PBE.

The calculation puts the uncorrected formation energy at -0.3 kcal/mol of atoms. As for the space group: Cmm2, No. 35.

a b c (Å): 3.6198 3.6198 8.4884
angles (deg): 90.00 90.00 97.50
With the nearest neighbours (Å) after each atom.
Element x y z (fractional)
Sb: 0.0000 0.0000 0.5652  4 Be 2.62-2.93
Be: 0.5000 0.5000 0.6921  4 Sb 2.62-2.93
Ca: 0.5000 0.5000 0.3093  4 Sb 3.23-3.48, 1 Be 3.25
Ca: 0.0000 0.0000 0.9335  1 Sb 3.13, 4 Be 3.15-3.41


EuErGaPb: optimized geometry, GGA-PBE.

The formation energy comes out at -1.70 eV/f.u. As for the space group: F-43m, No. 216.

a b c (Å): 5.3550 5.3550 5.3550
angles (deg): 60.00 60.00 60.00
With the nearest neighbours (Å) after each atom.
Element x y z (fractional)
Pb: 0.7500 0.7500 0.7500  4 Eu 3.28, 4 Er 3.28
Eu: 0.0000 0.0000 0.0000  4 Pb 3.28, 4 Ga 3.28
Ga: 0.2500 0.2500 0.2500  4 Eu 3.28, 4 Er 3.28
Er: 0.5000 0.5000 0.5000  4 Pb 3.28, 4 Ga 3.28


Ce3HoTm2P6: optimized geometry, GGA-PBE.

The formation energy comes out at -18.63 eV/f.u. As for the space group: C2/m, No. 12.

a b c (Å): 6.9766 6.9766 6.9534
angles (deg): 99.63 99.63 120.01
With the nearest neighbours (Å) after each atom.
Element x y z (fractional)
Ce: 0.5000 0.5000 0.5000  6 P 2.86-2.87
Ce: 0.8336 0.1664 0.5000  6 P 2.86-2.87
Ce: 0.1664 0.8336 0.5000  6 P 2.86-2.87
Ho: 0.0000 0.0000 0.0000  6 P 2.83
P: 0.9187 0.5840 0.7562  2 Tm 2.82, 1 Ho 2.83, 3 Ce 2.86-2.87
P: 0.4160 0.0813 0.2438  2 Tm 2.82, 1 Ho 2.83, 3 Ce 2.86-2.87
P: 0.2536 0.2536 0.7565  2 Tm 2.82, 1 Ho 2.83, 3 Ce 2.86-2.87
P: 0.0813 0.4160 0.2438  2 Tm 2.82, 1 Ho 2.83, 3 Ce 2.86-2.87
P: 0.7464 0.7464 0.2435  2 Tm 2.82, 1 Ho 2.83, 3 Ce 2.86-2.87
P: 0.5840 0.9187 0.7562  2 Tm 2.82, 1 Ho 2.83, 3 Ce 2.86-2.87
Tm: 0.6668 0.3332 0.0000  6 P 2.82
Tm: 0.3332 0.6668 0.0000  6 P 2.82


What did the first record say?
Ca2BeSb: optimized geometry, GGA-PBE.

The calculation puts the uncorrected formation energy at -0.3 kcal/mol of atoms. As for the space group: Cmm2, No. 35.

a b c (Å): 3.6198 3.6198 8.4884
angles (deg): 90.00 90.00 97.50
With the nearest neighbours (Å) after each atom.
Element x y z (fractional)
Sb: 0.0000 0.0000 0.5652  4 Be 2.62-2.93
Be: 0.5000 0.5000 0.6921  4 Sb 2.62-2.93
Ca: 0.5000 0.5000 0.3093  4 Sb 3.23-3.48, 1 Be 3.25
Ca: 0.0000 0.0000 0.9335  1 Sb 3.13, 4 Be 3.15-3.41